The following is a GGA-PBE calculation of a relaxed structure of Ac4La3SmS8, from Alexandria.

Properties
Total magnetization: 0.000 μB per atom
Uncorrected formation energy: -33.006 eV/f.u.

abc: 8.4191 8.4191 20.6961
angles: 90.00 90.00 120.00
Last column: nearest neighbours and their distance in Å.
Space group R-3m (No. 166, hexagonal axes)
Symmetry-distinct sites (fractional):
Ac (0.0000, 0.0000, 0.0000) (multiplicity 3)  6 S 3.07
Ac (0.0000, 0.5000, 0.0000) (multiplicity 9)  6 S 3.02
La (0.0000, 0.5000, 0.5000) (multiplicity 9)  6 S 2.94
Sm (0.0000, 0.0000, 0.5000) (multiplicity 3)  6 S 2.89
S (0.0000, 0.0000, 0.2466) (multiplicity 6)  3 La 2.94, 3 Ac 3.02
S (0.0052, 0.5026, 0.2453) (multiplicity 18)  1 Sm 2.89, 2 La 2.94, 3 Ac 3.02-3.07

The following is a GGA-PBE calculation of a relaxed structure of Ac3LaSm2S6, from Alexandria.

Properties
Total magnetization: 0.000 μB per atom
Uncorrected formation energy: -24.398 eV/f.u.

abc: 7.2181 12.5248 7.2762
angles: 90.00 109.44 90.00
Last column: nearest neighbours and their distance in Å.
Space group C2/m (No. 12)
Symmetry-distinct sites (fractional):
Ac (0.0000, 0.0000, 0.0000) (multiplicity 2)  6 S 3.00-3.04
Ac (0.0000, 0.3351, 0.0000) (multiplicity 4)  6 S 3.00-3.04
La (0.0000, 0.5000, 0.5000) (multiplicity 2)  6 S 2.92-2.93
Sm (0.0000, 0.1670, 0.5000) (multiplicity 4)  6 S 2.87-2.88
S (0.2374, 0.0000, 0.7309) (multiplicity 4)  2 Sm 2.87, 1 La 2.92, 3 Ac 3.00-3.04
S (0.2473, 0.3303, 0.7334) (multiplicity 8)  2 Sm 2.87-2.88, 1 La 2.93, 3 Ac 3.00-3.04

The following is a GGA-PBE calculation of a relaxed structure of Ac4LaSm3S8, from Alexandria.

Properties
Total magnetization: 0.000 μB per atom
Uncorrected formation energy: -32.346 eV/f.u.

abc: 8.3228 8.3228 20.6042
angles: 90.00 90.00 120.00
Last column: nearest neighbours and their distance in Å.
Space group R-3m (No. 166, hexagonal axes)
Symmetry-distinct sites (fractional):
Ac (0.0000, 0.0000, 0.0000) (multiplicity 3)  6 S 3.00
Ac (0.0000, 0.5000, 0.0000) (multiplicity 9)  6 S 3.04
La (0.0000, 0.0000, 0.5000) (multiplicity 3)  6 S 2.91
Sm (0.0000, 0.5000, 0.5000) (multiplicity 9)  6 S 2.87
S (0.0000, 0.0000, 0.2430) (multiplicity 6)  3 Sm 2.87, 3 Ac 3.04
S (0.0050, 0.5025, 0.7560) (multiplicity 18)  2 Sm 2.87, 1 La 2.91, 3 Ac 3.00-3.04

The following is a GGA-PBE calculation of a relaxed structure of Sr2AcLaS4, from Alexandria.

Properties
Total magnetization: 0.000 μB per atom
Uncorrected formation energy: -16.602 eV/f.u.

abc: 7.3287 4.2327 7.4286
angles: 90.00 109.20 90.00
Last column: nearest neighbours and their distance in Å.
Space group P2/m (No. 10)
Symmetry-distinct sites (fractional):
Sr (0.0000, 0.0000, 0.0000) (multiplicity 1)  6 S 3.03
Sr (0.5000, 0.5000, 0.0000) (multiplicity 1)  6 S 2.99
Ac (0.0000, 0.5000, 0.5000) (multiplicity 1)  6 S 3.02-3.03
La (0.5000, 0.0000, 0.5000) (multiplicity 1)  6 S 2.98
S (0.2548, 0.0000, 0.7509) (multiplicity 2)  1 La 2.98, 3 Sr 2.99-3.03, 2 Ac 3.03
S (0.2552, 0.5000, 0.2526) (multiplicity 2)  2 La 2.98, 3 Sr 2.99-3.03, 1 Ac 3.02

The following is a GGA-PBE calculation of a relaxed structure of SrAc3La2S6, from Alexandria.

Properties
Total magnetization: 0.000 μB per atom
Uncorrected formation energy: -24.773 eV/f.u.

abc: 7.3578 12.7513 7.3580
angles: 90.00 109.42 90.00
Last column: nearest neighbours and their distance in Å.
Space group C2/m (No. 12)
Symmetry-distinct sites (fractional):
Sr (0.0000, 0.0000, 0.0000) (multiplicity 2)  6 S 2.97-2.98
Ac (0.0000, 0.1662, 0.5000) (multiplicity 4)  6 S 3.04
Ac (0.0000, 0.5000, 0.5000) (multiplicity 2)  6 S 3.04
La (0.0000, 0.3336, 0.0000) (multiplicity 4)  6 S 2.96-2.97
S (0.2460, 0.5000, 0.2400) (multiplicity 4)  2 La 2.96, 1 Sr 2.97, 3 Ac 3.04
S (0.2475, 0.1672, 0.2414) (multiplicity 8)  2 La 2.97, 1 Sr 2.98, 3 Ac 3.04

The following is a GGA-PBE calculation of a relaxed structure of Ac4La3TbS8, from Alexandria.

Properties
Total magnetization: 0.000 μB per atom
Uncorrected formation energy: -32.897 eV/f.u.

abc: 8.3953 8.3953 20.6694
angles: 90.00 90.00 120.00
Last column: nearest neighbours and their distance in Å.
Space group R-3m (No. 166, hexagonal axes)
Symmetry-distinct sites (fractional):
Ac (0.0000, 0.0000, 0.0000) (multiplicity 3)  6 S 3.10
Ac (0.0000, 0.5000, 0.0000) (multiplicity 9)  6 S 3.02
La (0.0000, 0.5000, 0.5000) (multiplicity 9)  6 S 2.93-2.94
Tb (0.0000, 0.0000, 0.5000) (multiplicity 3)  6 S 2.85
S (0.0000, 0.0000, 0.2465) (multiplicity 6)  3 La 2.93, 3 Ac 3.02
S (0.0094, 0.5047, 0.2443) (multiplicity 18)  1 Tb 2.85, 2 La 2.94, 3 Ac 3.02-3.10

The following is a GGA-PBE calculation of a relaxed structure of Ac4La3ThS8, from Alexandria.

Properties
Total magnetization: 0.000 μB per atom
Uncorrected formation energy: -32.567 eV/f.u.

abc: 8.4188 8.4188 20.7055
angles: 90.00 90.00 120.00
Last column: nearest neighbours and their distance in Å.
Space group R-3m (No. 166, hexagonal axes)
Symmetry-distinct sites (fractional):
Ac (0.0000, 0.0000, 0.0000) (multiplicity 3)  6 S 3.06
Ac (0.0000, 0.5000, 0.0000) (multiplicity 9)  6 S 3.02
La (0.0000, 0.5000, 0.5000) (multiplicity 9)  6 S 2.94
Th (0.0000, 0.0000, 0.5000) (multiplicity 3)  6 S 2.90
S (0.0000, 0.0000, 0.2466) (multiplicity 6)  3 La 2.94, 3 Ac 3.02
S (0.0044, 0.5022, 0.2456) (multiplicity 18)  1 Th 2.90, 2 La 2.94, 3 Ac 3.02-3.06

The following is a GGA-PBE calculation of a relaxed structure of AcLa2ThS4, from Alexandria.

Properties
Total magnetization: 0.000 μB per atom
Uncorrected formation energy: -16.215 eV/f.u.

abc: 7.2033 4.1593 7.2223
angles: 90.00 109.50 90.00
Last column: nearest neighbours and their distance in Å.
Space group P2/m (No. 10)
Symmetry-distinct sites (fractional):
Ac (0.0000, 0.0000, 0.0000) (multiplicity 1)  6 S 2.98
La (0.5000, 0.0000, 0.5000) (multiplicity 1)  6 S 2.90-2.91
La (0.5000, 0.5000, 0.0000) (multiplicity 1)  6 S 2.98-2.99
Th (0.0000, 0.5000, 0.5000) (multiplicity 1)  6 S 2.91
S (0.2474, 0.0000, 0.7408) (multiplicity 2)  3 La 2.91-2.98, 2 Th 2.91, 1 Ac 2.98
S (0.2534, 0.5000, 0.2601) (multiplicity 2)  3 La 2.90-2.99, 1 Th 2.91, 2 Ac 2.98

The following is a GGA-PBE calculation of a relaxed structure of AcLaTl2S4, from Alexandria.

Properties
Total magnetization: 0.000 μB per atom
Uncorrected formation energy: -12.087 eV/f.u.

abc: 7.5533 4.3606 7.8490
angles: 90.00 108.68 90.00
Last column: nearest neighbours and their distance in Å.
Space group P2/m (No. 10)
Symmetry-distinct sites (fractional):
Ac (0.0000, 0.0000, 0.0000) (multiplicity 1)  6 S 2.98-2.99
La (0.5000, 0.5000, 0.0000) (multiplicity 1)  6 S 2.91-2.92
Tl (0.0000, 0.5000, 0.5000) (multiplicity 1)  6 S 3.36
Tl (0.5000, 0.0000, 0.5000) (multiplicity 1)  6 S 3.30
S (0.2434, 0.5000, 0.2092) (multiplicity 2)  1 La 2.91, 2 Ac 2.98
S (0.2716, 0.0000, 0.7942) (multiplicity 2)  2 La 2.92, 1 Ac 2.99

The following is a GGA-PBE calculation of a relaxed structure of Ac2LaTl3S6, from Alexandria.

Properties
Total magnetization: 0.000 μB per atom
Uncorrected formation energy: -18.095 eV/f.u.

abc: 7.5972 13.1546 7.8527
angles: 90.00 108.81 90.00
Last column: nearest neighbours and their distance in Å.
Space group C2/m (No. 12)
Symmetry-distinct sites (fractional):
Ac (0.0000, 0.1668, 0.0000) (multiplicity 4)  6 S 2.99-3.00
La (0.0000, 0.5000, 0.0000) (multiplicity 2)  6 S 2.92
Tl (0.0000, 0.0000, 0.5000) (multiplicity 2)  6 S 3.31-3.37
Tl (0.0000, 0.3344, 0.5000) (multiplicity 4)  6 S 3.29-3.39
S (0.2321, 0.3373, 0.2079) (multiplicity 8)  1 La 2.92, 2 Ac 2.99
S (0.2443, 0.0000, 0.2098) (multiplicity 4)  1 La 2.92, 2 Ac 3.00

The following is a GGA-PBE calculation of a relaxed structure of Ac2LaTmS4, from Alexandria.

Properties
Total magnetization: 0.000 μB per atom
Uncorrected formation energy: -16.031 eV/f.u.

abc: 7.1644 4.0839 7.3212
angles: 90.00 108.56 90.00
Last column: nearest neighbours and their distance in Å.
Space group P2/m (No. 10)
Symmetry-distinct sites (fractional):
Ac (0.0000, 0.0000, 0.0000) (multiplicity 1)  6 S 3.10-3.11
Ac (0.5000, 0.5000, 0.0000) (multiplicity 1)  6 S 2.99
La (0.0000, 0.5000, 0.5000) (multiplicity 1)  6 S 2.90
Tm (0.5000, 0.0000, 0.5000) (multiplicity 1)  6 S 2.78
S (0.2565, 0.0000, 0.7288) (multiplicity 2)  1 Tm 2.78, 2 La 2.90, 3 Ac 2.99-3.10
S (0.2732, 0.5000, 0.2799) (multiplicity 2)  2 Tm 2.78, 1 La 2.90, 3 Ac 2.99-3.11

The following is a GGA-PBE calculation of a relaxed structure of Ac2LaUS8, from Alexandria.

Properties
Total magnetization: 0.000 μB per atom
Uncorrected formation energy: -19.806 eV/f.u.

abc: 4.7447 7.0464 9.3812
angles: 90.00 90.00 90.00
Last column: nearest neighbours and their distance in Å.
Space group Pmmm (No. 47)
Symmetry-distinct sites (fractional):
Ac (0.0000, 0.0000, 0.2482) (multiplicity 2)  8 S 2.94-3.13
La (0.5000, 0.5000, 0.0000) (multiplicity 1)  8 S 2.93-3.07
U (0.5000, 0.5000, 0.5000) (multiplicity 1)  8 S 2.65-2.79
S (0.0000, 0.2548, 0.0000) (multiplicity 2)  2 La 2.93, 2 Ac 2.94
S (0.0000, 0.2909, 0.5000) (multiplicity 2)  2 U 2.79, 1 S 2.95, 2 Ac 3.13
S (0.5000, 0.2692, 0.2773) (multiplicity 4)  1 U 2.65